Record 1
Ca2SmErS4 PBE optimized geometry; DFT total energy = -0.212 Ha/atom; size of the total moment = 0.00 Bohr magnetons per cell; calculated density = 4.90 Mg/m³
1.0
3.954 0.000 0.000
0.000 6.853 0.120
0.000 -2.395 6.533
S Sm Er Ca
4 1 1 2
Direct
0.000 0.756 0.249
0.000 0.244 0.751
0.500 0.758 0.756
0.500 0.242 0.244
0.500 0.500 0.000
0.000 0.000 0.000
0.000 0.500 0.500
0.500 0.000 0.500

Record 2
CaSm2ErS4 PBE optimized geometry; DFT total energy = -0.224 Ha/atom; size of the total moment = 0.00 Bohr magnetons per cell; calculated density = 5.96 Mg/m³
1.0
-1.866 -2.551 -2.366
4.234 1.666 -5.135
2.719 -5.282 3.550
S Er Sm Ca
4 1 2 1
Direct
0.500 0.749 0.758
0.500 0.251 0.242
0.000 0.257 0.762
0.000 0.743 0.238
0.500 0.500 0.000
0.000 0.500 0.500
0.500 0.000 0.500
0.000 0.000 0.000

Record 3
Ca3SmEr3S8 PBE optimized geometry; DFT total energy = -0.217 Ha/atom; size of the total moment = 0.00 Bohr magnetons per cell; calculated density = 4.89 Mg/m³
1.0
7.856 0.000 0.000
-3.928 6.803 -0.025
0.000 -4.513 6.548
Ca Er S Sm
3 3 8 1
Direct
0.000 0.000 0.000
0.500 0.500 0.000
0.000 0.500 0.000
0.000 0.500 0.500
0.500 0.500 0.500
0.500 0.000 0.500
0.253 0.506 0.259
0.250 0.500 0.741
0.259 0.009 0.259
0.750 0.500 0.259
0.750 0.009 0.259
0.741 0.991 0.741
0.250 0.991 0.741
0.747 0.494 0.741
0.000 0.000 0.500

Record 4
CaEr4SnS8 PBE optimized geometry; DFT total energy = -0.216 Ha/atom; size of the total moment = 0.00 Bohr magnetons per cell; calculated density = 4.77 Mg/m³
1.0
-2.396 3.705 -6.746
-7.490 -1.109 -2.765
-5.408 6.098 0.454
S Er Sn Ca
8 4 1 1
Direct
0.245 0.784 0.725
0.239 0.239 0.282
0.232 0.746 0.276
0.757 0.757 0.728
0.746 0.232 0.276
0.245 0.245 0.725
0.784 0.245 0.725
0.746 0.746 0.276
0.623 0.623 0.130
0.495 0.002 0.500
0.002 0.495 0.500
0.002 0.002 0.500
0.006 0.006 0.983
0.376 0.376 0.873

Record 5
SrCaEr4S8 PBE optimized geometry; DFT total energy = -0.219 Ha/atom; size of the total moment = 0.00 Bohr magnetons per cell; calculated density = 4.56 Mg/m³
1.0
-7.545 -0.625 -2.944
-5.757 -3.741 4.341
-6.045 4.376 3.355
S Ca Er Sr
8 1 4 1
Direct
0.794 0.241 0.723
0.230 0.752 0.267
0.752 0.752 0.267
0.236 0.236 0.292
0.752 0.230 0.267
0.756 0.756 0.731
0.241 0.241 0.723
0.241 0.794 0.723
0.002 0.002 0.995
0.002 0.002 0.503
0.492 0.002 0.503
0.623 0.623 0.131
0.002 0.492 0.503
0.376 0.376 0.871

Record 6
CaTbEr2S4 PBE optimized geometry; DFT total energy = -0.222 Ha/atom; size of the total moment = 0.00 Bohr magnetons per cell; calculated density = 6.49 Mg/m³
1.0
3.897 0.000 0.000
0.000 6.777 -0.151
0.000 2.370 6.360
Er S Ca Tb
2 4 1 1
Direct
0.000 0.000 0.000
0.500 0.000 0.500
0.000 0.244 0.252
0.000 0.756 0.748
0.500 0.757 0.247
0.500 0.243 0.753
0.000 0.500 0.500
0.500 0.500 0.000

Record 7
Ca3Tb3ErS8 PBE optimized geometry; DFT total energy = -0.218 Ha/atom; size of the total moment = 0.00 Bohr magnetons per cell; calculated density = 4.79 Mg/m³
1.0
7.893 0.000 0.000
-3.946 6.835 -0.024
0.000 -4.534 6.573
S Ca Tb Er
8 3 3 1
Direct
0.243 0.994 0.738
0.243 0.486 0.738
0.757 0.514 0.262
0.251 0.503 0.254
0.757 0.006 0.262
0.751 0.994 0.738
0.749 0.497 0.746
0.249 0.006 0.262
0.500 0.500 0.000
0.000 0.500 0.000
0.000 0.000 0.000
0.000 0.500 0.500
0.500 0.500 0.500
0.500 0.000 0.500
0.000 0.000 0.500

Record 8
Ca2TbErS4 PBE optimized geometry; DFT total energy = -0.212 Ha/atom; size of the total moment = 0.00 Bohr magnetons per cell; calculated density = 5.07 Mg/m³
1.0
-2.057 -3.003 1.488
5.346 -4.113 -0.912
0.378 2.857 6.291
Er S Ca Tb
1 4 2 1
Direct
0.000 0.000 0.000
0.000 0.751 0.245
0.500 0.755 0.757
0.500 0.245 0.243
0.000 0.249 0.755
0.500 0.000 0.500
0.000 0.500 0.500
0.500 0.500 0.000

Record 9
CaEr2ThS4 PBE optimized geometry; DFT total energy = -0.232 Ha/atom; size of the total moment = 0.00 Bohr magnetons per cell; calculated density = 7.02 Mg/m³
1.0
-0.271 -3.414 -1.891
-0.820 -3.228 5.946
-6.729 -0.294 1.496
Er S Ca Th
2 4 1 1
Direct
0.000 0.000 0.000
0.500 0.000 0.500
0.000 0.764 0.740
0.500 0.240 0.750
0.000 0.236 0.260
0.500 0.760 0.250
0.000 0.500 0.500
0.500 0.500 0.000

Record 10
Ca3Er3TmS8 PBE optimized geometry; DFT total energy = -0.217 Ha/atom; size of the total moment = 0.00 Bohr magnetons per cell; calculated density = 5.04 Mg/m³
1.0
-4.689 -2.163 -5.862
-1.908 -1.738 7.373
-0.392 7.532 -2.465
S Tm Er Ca
8 1 3 3
Direct
0.747 0.494 0.741
0.748 0.992 0.735
0.244 0.488 0.735
0.756 0.008 0.265
0.252 0.008 0.265
0.756 0.512 0.265
0.244 0.992 0.735
0.253 0.506 0.259
0.000 0.000 0.500
0.500 0.500 0.500
0.000 0.500 0.500
0.500 0.000 0.500
0.500 0.500 0.000
0.000 0.500 0.000
0.000 0.000 0.000

Record 11
CaErTm4S8 PBE optimized geometry; DFT total energy = -0.224 Ha/atom; size of the total moment = 0.00 Bohr magnetons per cell; calculated density = 5.24 Mg/m³
1.0
-3.958 -6.554 -2.286
0.337 -6.627 4.452
-6.445 -2.403 4.083
S Tm Ca Er
8 4 1 1
Direct
0.227 0.757 0.259
0.239 0.239 0.284
0.757 0.757 0.259
0.783 0.240 0.738
0.240 0.783 0.738
0.758 0.758 0.726
0.757 0.227 0.259
0.240 0.240 0.738
0.625 0.625 0.125
0.002 0.494 0.502
0.494 0.002 0.502
0.002 0.002 0.502
0.375 0.375 0.876
0.002 0.002 0.994

Record 12
CaEr2TmS4 PBE optimized geometry; DFT total energy = -0.220 Ha/atom; size of the total moment = 0.00 Bohr magnetons per cell; calculated density = 6.71 Mg/m³
1.0
-3.299 -1.442 1.435
2.870 -6.077 0.494
1.009 3.399 5.735
S Er Tm Ca
4 2 1 1
Direct
0.000 0.253 0.750
0.500 0.255 0.253
0.500 0.745 0.747
0.000 0.747 0.250
0.000 0.500 0.500
0.500 0.000 0.500
0.500 0.500 0.000
0.000 0.000 0.000

Please write out number 2 again, unchanged.
CaSm2ErS4 PBE optimized geometry; DFT total energy = -0.224 Ha/atom; size of the total moment = 0.00 Bohr magnetons per cell; calculated density = 5.96 Mg/m³
1.0
-1.866 -2.551 -2.366
4.234 1.666 -5.135
2.719 -5.282 3.550
S Er Sm Ca
4 1 2 1
Direct
0.500 0.749 0.758
0.500 0.251 0.242
0.000 0.257 0.762
0.000 0.743 0.238
0.500 0.500 0.000
0.000 0.500 0.500
0.500 0.000 0.500
0.000 0.000 0.000

Q: What is the DFT total energy in the fourth record?
A: -0.216 Ha/atom

Q: The lowest DFT total energy belongs to which entry?
A: CaEr2ThS4